# 1
Computed, not measured: a relaxed structure of Ta2NbMo4 at the PBE-GGA level of DFT.

Cell: 4.4874 4.4874 12.6856 Å, 90.00 90.00 90.00°
Closest atoms and distances in Å follow each position.
Space group I4/mmm (No. 139)
Symmetry-distinct sites (fractional):
Ta: 0.0000 0.0000 0.2488  8 Mo 2.76-2.78
Nb: 0.0000 0.0000 0.5000  8 Mo 2.72
Mo: 0.0000 0.5000 0.1217  2 Nb 2.72, 4 Ta 2.76-2.78

Output
energy of formation: 414 meV/atom
VASP energy: -148.4 eV for the cell shown


# 2
Computed, not measured: a relaxed structure of Ta2NbMo at the PBE-GGA level of DFT.

Cell: 3.2598 3.2598 6.5970 Å, 90.00 90.00 90.00°
Closest atoms and distances in Å follow each position.
Space group P4/mmm (No. 123)
Symmetry-distinct sites (fractional):
Ta: 0.0000 0.0000 0.2408  4 Mo 2.80, 4 Nb 2.87
Nb: 0.5000 0.5000 0.5000  8 Ta 2.87
Mo: 0.5000 0.5000 0.0000  8 Ta 2.80

Output
energy of formation: -108 meV/atom
VASP energy: -45.0 eV for the cell shown


# 3
Computed, not measured: a relaxed structure of TaNbMo at the PBE-GGA level of DFT.

Cell: 6.1476 6.1723 12.8652 Å, 90.00 90.00 90.00°
Closest atoms and distances in Å follow each position.
Space group Fmmm (No. 69)
Symmetry-distinct sites (fractional):
Ta: 0.2500 0.2500 0.2500  4 Mo 2.71
Nb: 0.2500 0.2500 0.0000  4 Mo 2.70
Mo: 0.0000 0.0000 0.1244  4 Nb 2.70, 4 Ta 2.71

Output
energy of formation: 643 meV/atom
VASP energy: -246.6 eV for the cell shown


# 4
Computed, not measured: a relaxed structure of Ta2Nb5Mo at the PBE-GGA level of DFT.

Cell: 4.6468 4.6468 13.2289 Å, 90.00 90.00 90.00°
Closest atoms and distances in Å follow each position.
Space group I4/mmm (No. 139)
Symmetry-distinct sites (fractional):
Ta: 0.0000 0.0000 0.2496  8 Nb 2.87
Nb: 0.0000 0.0000 0.0000  8 Nb 2.83
Nb: 0.0000 0.5000 0.1225  2 Mo 2.83, 2 Nb 2.83, 4 Ta 2.87
Mo: 0.0000 0.0000 0.5000  8 Nb 2.83

Output
energy of formation: -47 meV/atom
VASP energy: -170.5 eV for the cell shown


# 5
Computed, not measured: a relaxed structure of TaNb6Mo2 at the PBE-GGA level of DFT.

Cell: 10.4309 3.2738 9.8564 Å, 90.00 109.56 90.00°
Closest atoms and distances in Å follow each position.
Space group C2/m (No. 12)
Symmetry-distinct sites (fractional):
Ta: 0.0000 0.0000 0.0000  4 Mo 2.81, 4 Nb 2.92
Nb: 0.0040 0.0000 0.3296  2 Mo 2.79, 6 Nb 2.83-2.90
Nb: 0.1692 0.5000 0.5612  2 Mo 2.79, 6 Nb 2.87-2.90
Nb: 0.1735 0.5000 0.8867  4 Nb 2.80-2.83, 2 Mo 2.81, 2 Ta 2.92
Mo: 0.1643 0.5000 0.2215  6 Nb 2.79-2.81, 2 Ta 2.81

Output
energy of formation: -86 meV/atom
VASP energy: -189.4 eV for the cell shown


# 6
Computed, not measured: a relaxed structure of Ta7Nb2Mo at the PBE-GGA level of DFT.

Cell: 9.6349 9.6349 9.6349 Å, 90.00 90.00 90.00°
Closest atoms and distances in Å follow each position.
Space group Fm-3m (No. 225)
Symmetry-distinct sites (fractional):
Ta: 0.0000 0.0000 0.0000  6 Ta 2.43
Ta: 0.0000 0.0000 0.2523  1 Mo 2.39, 1 Ta 2.43
Nb: 0.2500 0.2500 0.2500  12 Ta 3.41
Mo: 0.0000 0.0000 0.5000  6 Ta 2.39

Output
energy of formation: 1588 meV/atom
VASP energy: -392.2 eV for the cell shown


# 7
Computed, not measured: a relaxed structure of TaNb2Mo2 at the PBE-GGA level of DFT.

Cell: 4.5970 7.6774 10.7533 Å, 90.00 90.00 90.00°
Closest atoms and distances in Å follow each position.
Space group Imma (No. 74)
Symmetry-distinct sites (fractional):
Ta: 0.0000 0.2500 0.1650  2 Mo 2.71, 2 Nb 2.91, 2 Ta 2.94
Nb: 0.0000 0.0366 0.6583  5 Mo 2.58-2.84
Mo: 0.0000 0.2500 0.4676  4 Nb 2.58-2.62, 2 Ta 2.71, 2 Mo 2.89
Mo: 0.0000 0.2500 0.8696  6 Nb 2.80-2.84, 2 Mo 2.89

Output
energy of formation: 492 meV/atom
VASP energy: -204.8 eV for the cell shown


# 8
Computed, not measured: a relaxed structure of TaNb4Mo5 at the PBE-GGA level of DFT.

Cell: 3.2315 3.2315 16.1521 Å, 90.00 90.00 90.00°
Closest atoms and distances in Å follow each position.
Space group P4/mmm (No. 123)
Symmetry-distinct sites (fractional):
Ta: 0.0000 0.0000 0.0000  8 Mo 2.80
Nb: 0.0000 0.0000 0.1999  8 Mo 2.80
Nb: 0.0000 0.0000 0.4000  8 Mo 2.80
Mo: 0.5000 0.5000 0.1000  4 Nb 2.80, 4 Ta 2.80
Mo: 0.5000 0.5000 0.3001  8 Nb 2.80
Mo: 0.5000 0.5000 0.5000  8 Nb 2.80

Output
energy of formation: -150 meV/atom
VASP energy: -107.8 eV for the cell shown


# 9
Computed, not measured: a relaxed structure of Ta5NbMo at the PBE-GGA level of DFT.

Cell: 4.5518 4.5518 6.5079 Å, 90.00 90.00 90.00°
Closest atoms and distances in Å follow each position.
Space group P4/mmm (No. 123)
Symmetry-distinct sites (fractional):
Ta: 0.0000 0.0000 0.0000  8 Ta 2.84
Ta: 0.0000 0.5000 0.2618  2 Mo 2.75, 2 Nb 2.84, 2 Ta 2.84
Nb: 0.5000 0.5000 0.0000  8 Ta 2.84
Mo: 0.5000 0.5000 0.5000  8 Ta 2.75

Output
energy of formation: 304 meV/atom
VASP energy: -78.0 eV for the cell shown


# 10
Computed, not measured: a relaxed structure of Ta3NbMo at the PBE-GGA level of DFT.

Cell: 13.5514 4.6093 5.7198 Å, 90.00 98.10 90.00°
Closest atoms and distances in Å follow each position.
Space group C2/m (No. 12)
Symmetry-distinct sites (fractional):
Ta: 0.0041 0.0000 0.2528  2 Mo 2.80, 1 Nb 2.81, 5 Ta 2.85-2.90
Ta: 0.1011 0.5000 0.9528  3 Nb 2.81-2.83, 2 Mo 2.85-2.87, 3 Ta 2.87
Ta: 0.1995 0.0000 0.6428  3 Mo 2.82-2.88, 4 Nb 2.84-2.88, 1 Ta 2.90
Nb: 0.2000 0.0000 0.1463  8 Ta 2.81-2.88
Mo: 0.0975 0.5000 0.4526  1 Mo 2.77, 7 Ta 2.80-2.88

Output
energy of formation: -67 meV/atom
VASP energy: -227.2 eV for the cell shown


# 11
Computed, not measured: a relaxed structure of Ta4Nb4Mo at the PBE-GGA level of DFT.

Cell: 9.8949 9.8949 3.2861 Å, 90.00 90.00 90.00°
Closest atoms and distances in Å follow each position.
Space group I4/mmm (No. 139)
Symmetry-distinct sites (fractional):
Ta: 0.1625 0.1625 0.0000  2 Mo 2.81, 4 Nb 2.86, 2 Ta 2.95
Nb: 0.0000 0.3342 0.5000  4 Nb 2.84, 4 Ta 2.86
Mo: 0.0000 0.0000 0.5000  8 Ta 2.81

Output
energy of formation: -63 meV/atom
VASP energy: -198.2 eV for the cell shown


# 12
Computed, not measured: a relaxed structure of TaNb3Mo4 at the PBE-GGA level of DFT.

Cell: 9.3919 5.4250 5.4148 Å, 90.00 90.00 90.00°
Closest atoms and distances in Å follow each position.
Space group Pmn2_1 (No. 31)
Symmetry-distinct sites (fractional):
Ta: 0.0000 0.0069 0.0000  4 Mo 2.71-2.78, 4 Nb 2.82-2.97
Nb: 0.0000 0.5089 0.8509  4 Mo 2.70-2.93, 2 Ta 2.82-2.84, 2 Nb 2.83
Nb: 0.2495 0.7195 0.1726  6 Mo 2.71-2.97, 1 Nb 2.83, 1 Ta 2.97
Mo: 0.0000 0.4912 0.3495  4 Nb 2.70-2.82, 4 Mo 2.82-2.94
Mo: 0.0000 0.9940 0.4996  2 Ta 2.71, 4 Mo 2.77-2.85, 2 Nb 2.97
Mo: 0.2492 0.7809 0.6734  5 Nb 2.71-2.93, 2 Mo 2.77-2.94, 1 Ta 2.78

Output
energy of formation: 114 meV/atom
VASP energy: -169.0 eV for the cell shown


What is the VASP energy in the third record?
-246.6 eV for the cell shown


Among the records above, which one has the lowest energy of formation?
TaNb4Mo5